1.
VASP calculation (PBE-GGA) on a relaxed Zr2TaRe crystal.

ΔH_f (0 K): 146 meV/atom

Lattice parameters (Å, degrees): 5.657 5.657 5.657 139.16 139.16 59.14
Atoms (fractional coordinates):
Re  0.250  0.750  0.500
Ta  0.750  0.250  0.500
Zr  0.000  0.000  0.000
Zr  0.500  0.500  0.000

2.
VASP calculation (PBE-GGA) on a relaxed Sr4As2H crystal.

Lattice parameters (Å, degrees): 4.825 4.825 9.113 74.65 74.65 90.00
Atoms (fractional coordinates):
Sr  0.182  0.182  0.637
Sr  0.818  0.818  0.363
Sr  0.000  0.500  0.000
Sr  0.500  0.000  0.000
As  0.368  0.368  0.265
As  0.632  0.632  0.735
H  0.000  0.000  0.000

| no. | distance to the lowest polymorph of the same formula (eV/atom) |
| --- | --- |
| 1 | 0.278 |
| 2 | 0.000 |